Here is an optimized crystal structure of Ti2Fe2Rh from Alexandria via LeMat-Bulk. Energies are from PBE.

Geometry as CIF:
```
data_Ti2Fe2Rh
_chemical_formula_sum 'Ti4 Fe4 Rh2'
_space_group_name_H-M_alt 'C m m m'
_space_group_IT_number 65
_space_group_name_Hall '-C 2 2'
_cell_length_a 3.414
_cell_length_b 13.947
_cell_length_c 2.907
_cell_angle_alpha 90.00
_cell_angle_beta 90.00
_cell_angle_gamma 90.00
loop_
_atom_site_label
_atom_site_type_symbol
_atom_site_fract_x
_atom_site_fract_y
_atom_site_fract_z
Ti1 Ti 0.000 0.113 0.000
Fe1 Fe 0.000 0.302 0.500
Rh1 Rh 0.000 0.500 0.500
```

Values from the calculation:
calculated total energy	-8.2962	eV per atom
ΔE_f	-0.28	eV/atom
total magnetic moment	2.52	μB/f.u.
ΔE to the lowest computed polymorph	0	meV/atom